First-principles (PBE) data for a relaxed structure of Dy2Te2F, as listed in Alexandria.

Summary:
ΔE_f (raw): -183 kJ per mole of atoms
Fermi-level density of states: 7.09 states/eV/cell
total magnetic moment: 0.00 μB/atom

a b c (Å): 4.084 4.084 35.283
angles (deg): 90.00 90.00 90.00
Space group I4_1/amd (No. 141, origin choice 2)
Unique sites:
1 Dy 0.000 0.250 0.091 (multiplicity 8)
2 Te 0.000 0.250 0.194 (multiplicity 8)
3 F 0.000 0.250 0.875 (multiplicity 4)